No. 1
## CrOsBr2 (PBE)

Data for an optimized crystal structure of CrOsBr2.

The structure in POSCAR format:
```
CrOsBr2
1.0
7.237 0.141 -0.002
5.055 5.182 0.002
-5.995 -3.011 2.720
Br Cr Os
2 1 1
direct
0.883 0.883 0.000
0.617 0.617 0.000
0.250 0.750 0.500
0.750 0.250 0.500
```

Output
Space-group type: Immm
DOS(E_F), states/eV/f.u.: 3.29
Energy relative to the elements, uncorrected, eV/atom: 0.530
Magnetization, μB per formula unit: 4.0
Relative energy among the computed polymorphs, meV/atom: 312.8
E_tot, eV per formula unit: -22.08

***

No. 2
## CrOs2Br (PBE)

Data for an optimized crystal structure of CrOs2Br.

The structure in POSCAR format:
```
CrOs2Br
1.0
10.480 0.210 0.123
10.065 2.927 0.123
10.065 1.537 2.494
Br Cr Os
1 1 2
direct
0.250 0.250 0.250
0.750 0.750 0.750
0.020 0.020 0.020
0.480 0.480 0.480
```

Output
Space-group type: R-3m
DOS(E_F), states/eV/f.u.: 3.37
Energy relative to the elements, uncorrected, eV/atom: 0.691
Magnetization, μB per formula unit: 1.0
Relative energy among the computed polymorphs, meV/atom: 11.7
E_tot, eV per formula unit: -30.99

***

No. 3
## Cr2OsBr (PBE)

Data for an optimized crystal structure of Cr2OsBr.

The structure in POSCAR format:
```
Cr2OsBr
1.0
2.878 0.000 0.000
0.000 2.878 0.000
0.000 0.000 6.731
Br Cr Os
1 2 1
direct
0.500 0.500 0.750
0.000 0.000 0.005
0.000 0.000 0.495
0.500 0.500 0.250
```

Output
Space-group type: P4/mmm
DOS(E_F), states/eV/f.u.: 3.75
Energy relative to the elements, uncorrected, eV/atom: 0.559
Magnetization, μB per formula unit: 1.1
Relative energy among the computed polymorphs, meV/atom: 0.0
E_tot, eV per formula unit: -29.91

***

No. 4
## Cr2OsBr (PBE)

Data for an optimized crystal structure of Cr2OsBr.

The structure in POSCAR format:
```
Cr2OsBr
1.0
-0.096 -2.225 -4.600
-1.158 -4.186 -2.693
-4.026 1.297 -0.910
Br Cr Os
1 2 1
direct
0.256 0.256 0.228
0.034 0.034 0.987
0.744 0.744 0.726
0.467 0.467 0.560
```

Output
Space-group type: Cm
DOS(E_F), states/eV/f.u.: 2.51
Energy relative to the elements, uncorrected, eV/atom: 0.711
Magnetization, μB per formula unit: 0.7
Relative energy among the computed polymorphs, meV/atom: 151.8
E_tot, eV per formula unit: -29.31

***

No. 5
## CrOs2Br (PBE)

Data for an optimized crystal structure of CrOs2Br.

The structure in POSCAR format:
```
CrOs2Br
1.0
-0.284 -2.876 0.126
2.266 -0.145 1.792
-4.478 0.693 5.718
Br Cr Os
1 1 2
direct
0.500 0.500 0.250
0.500 0.500 0.750
0.000 0.000 0.961
0.000 0.000 0.539
```

Output
Space-group type: P4/mmm
DOS(E_F), states/eV/f.u.: 4.15
Energy relative to the elements, uncorrected, eV/atom: 0.852
Magnetization, μB per formula unit: 0.0
Relative energy among the computed polymorphs, meV/atom: 172.9
E_tot, eV per formula unit: -30.35

***

No. 6
## CrPOs2Br (PBE)

Data for an optimized crystal structure of CrPOs2Br.

The structure in POSCAR format:
```
CrPOs2Br
1.0
4.348 0.000 0.000
0.000 5.104 0.000
0.000 0.000 4.348
Cr Os Br P
1 2 1 1
direct
0.500 0.500 0.500
0.000 0.000 0.500
0.500 0.000 0.000
0.000 0.500 0.000
0.000 0.000 0.000
```

Output
Space-group type: P4/mmm
DOS(E_F), states/eV/f.u.: 6.34
Energy relative to the elements, uncorrected, eV/atom: 1.694
Magnetization, μB per formula unit: 1.3
E_tot, eV per formula unit: -30.69

***

No. 7
## Rb2CrOsBr6 (PBE)

Data for an optimized crystal structure of Rb2CrOsBr6.

The structure in POSCAR format:
```
Rb2CrOsBr6
1.0
7.469 0.000 0.000
0.000 7.469 0.000
3.734 3.734 5.283
Cr Os Br Rb
1 1 6 2
direct
0.500 0.500 0.000
0.000 0.000 0.000
0.244 0.244 0.513
0.756 0.756 0.487
0.244 0.244 0.000
0.756 0.756 0.000
0.756 0.244 0.000
0.244 0.756 0.000
0.750 0.250 0.500
0.250 0.750 0.500
```

Output
Space-group type: Fm-3m
DOS(E_F), states/eV/f.u.: 8.60
Energy relative to the elements, uncorrected, eV/atom: -0.676
Magnetization, μB per formula unit: 5.5
E_tot, eV per formula unit: -39.59

***

No. 8
## Cr2OsRuBr (PBE)

Data for an optimized crystal structure of Cr2OsRuBr.

The structure in POSCAR format:
```
Cr2OsRuBr
1.0
-2.533 2.821 2.321
-3.673 -2.235 -1.292
0.343 -2.628 3.568
Ru Os Br Cr
1 1 1 2
direct
0.000 0.500 0.000
0.500 0.500 0.500
0.000 0.000 0.000
0.000 0.000 0.500
0.500 0.000 0.000
```

Output
Space-group type: P4/mmm
DOS(E_F), states/eV/f.u.: 6.76
Energy relative to the elements, uncorrected, eV/atom: 1.788
Magnetization, μB per formula unit: 3.7
E_tot, eV per formula unit: -32.49

***

No. 9
## CrOsSeBr2 (PBE)

Data for an optimized crystal structure of CrOsSeBr2.

The structure in POSCAR format:
```
CrOsSeBr2
1.0
5.031 0.000 0.000
0.000 5.031 0.000
0.000 0.000 4.669
Cr Os Se Br
1 1 1 2
direct
0.000 0.000 0.000
0.500 0.500 0.500
0.000 0.000 0.500
0.000 0.500 0.000
0.500 0.000 0.000
```

Output
Space-group type: P4/mmm
DOS(E_F), states/eV/f.u.: 6.77
Energy relative to the elements, uncorrected, eV/atom: 1.307
Magnetization, μB per formula unit: 4.3
Relative energy among the computed polymorphs, meV/atom: 602.9
E_tot, eV per formula unit: -21.15

***

No. 10
## CrOsSeBr2 (PBE)

Data for an optimized crystal structure of CrOsSeBr2.

The structure in POSCAR format:
```
CrOsSeBr2
1.0
-4.877 0.130 -2.125
-2.100 -1.161 4.749
-0.302 4.505 0.968
Cr Os Se Br
1 1 1 2
direct
0.500 0.500 0.500
0.000 0.000 0.000
0.000 0.000 0.500
0.000 0.500 0.000
0.500 0.000 0.000
```

Output
Space-group type: P4/mmm
DOS(E_F), states/eV/f.u.: 4.92
Energy relative to the elements, uncorrected, eV/atom: 0.704
Magnetization, μB per formula unit: 5.0
Relative energy among the computed polymorphs, meV/atom: 0.0
E_tot, eV per formula unit: -24.16

***

No. 11
## Sr2CrOsBr (PBE)

Data for an optimized crystal structure of Sr2CrOsBr.

The structure in POSCAR format:
```
Sr2CrOsBr
1.0
-3.076 1.209 -5.104
3.387 -1.322 -2.354
-2.214 -5.663 -0.007
Sr Os Br Cr
2 1 1 1
direct
0.000 0.000 0.500
0.500 0.000 0.000
0.000 0.500 0.000
0.500 0.500 0.500
0.000 0.000 0.000
```

Output
Space-group type: P4/mmm
DOS(E_F), states/eV/f.u.: 4.67
Energy relative to the elements, uncorrected, eV/atom: 0.278
Magnetization, μB per formula unit: 1.9
E_tot, eV per formula unit: -24.50

***

No. 12
## YCrOs2Br (PBE)

Data for an optimized crystal structure of YCrOs2Br.

The structure in POSCAR format:
```
YCrOs2Br
1.0
5.046 0.000 0.000
0.000 5.017 0.000
0.000 0.000 5.046
Y Cr Os Br
1 1 2 1
direct
0.000 0.000 0.000
0.000 0.500 0.000
0.000 0.000 0.500
0.500 0.000 0.000
0.500 0.500 0.500
```

Output
Space-group type: P4/mmm
DOS(E_F), states/eV/f.u.: 9.28
Energy relative to the elements, uncorrected, eV/atom: 2.878
Magnetization, μB per formula unit: 3.4
E_tot, eV per formula unit: -25.83

***

No. 13
## Zr2CrOsBr (PBE)

Data for an optimized crystal structure of Zr2CrOsBr.

The structure in POSCAR format:
```
Zr2CrOsBr
1.0
-2.912 -0.449 -4.208
-1.240 -4.374 1.325
-4.012 1.917 2.572
Cr Os Br Zr
1 1 1 2
direct
0.000 0.500 0.000
0.000 0.000 0.000
0.500 0.500 0.500
0.000 0.000 0.500
0.500 0.000 0.000
```

Output
Space-group type: P4/mmm
DOS(E_F), states/eV/f.u.: 4.33
Energy relative to the elements, uncorrected, eV/atom: 0.533
Magnetization, μB per formula unit: 3.0
E_tot, eV per formula unit: -36.96

***

No. 14
## Cr2PBr (PBE)

Data for an optimized crystal structure of Cr2PBr.

The structure in POSCAR format:
```
Cr2PBr
1.0
6.786 0.119 0.085
5.113 4.463 -0.085
-6.011 -2.131 2.323
Br Cr P
1 2 1
direct
0.298 0.798 0.500
0.986 0.986 0.000
0.672 0.172 0.500
0.544 0.544 0.000
```

Output
Space-group type: Imm2
DOS(E_F), states/eV/f.u.: 2.92
Energy relative to the elements, uncorrected, eV/atom: 0.013
Magnetization, μB per formula unit: 5.8
Relative energy among the computed polymorphs, meV/atom: 180.5
E_tot, eV per formula unit: -26.28

***

No. 15
## CrP2Br (PBE)

Data for an optimized crystal structure of CrP2Br.

The structure in POSCAR format:
```
CrP2Br
1.0
4.557 0.008 0.011
-1.498 4.303 0.011
1.520 2.143 3.722
Br Cr P
1 1 2
direct
0.500 0.000 0.500
0.000 0.500 0.500
0.000 0.000 0.000
0.500 0.500 0.000
```

Output
Space-group type: I4/mmm
DOS(E_F), states/eV/f.u.: 2.46
Energy relative to the elements, uncorrected, eV/atom: 0.439
Magnetization, μB per formula unit: 3.7
Relative energy among the computed polymorphs, meV/atom: 590.0
E_tot, eV per formula unit: -20.36